Computed, not measured: an optimized crystal structure of Er2AlVO6 at the GGA+U level of DFT.

Geometry as POSCAR:
```
Er2AlVO6
1.0
5.235 0.000 -0.014
0.000 5.529 0.000
0.027 0.000 7.528
O Er V Al
12 4 2 2
Cartesian
1.573 3.824 3.349
4.204 4.469 7.106
0.595 2.562 5.587
4.667 2.967 1.928
3.690 1.705 4.166
3.199 0.202 1.815
2.063 5.327 5.699
1.058 1.060 0.408
4.283 4.384 4.189
3.611 1.620 7.082
0.980 1.145 3.325
1.651 3.909 0.432
2.520 2.391 1.870
0.112 5.156 1.887
5.151 0.373 5.627
2.743 3.138 5.644
2.631 0.000 3.757
0.000 2.764 0.000
0.014 2.764 3.764
2.618 0.000 -0.007
```

electronic total energy: -8.113 eV/atom
space-group type: P2_1/c, No. 14
spin magnetization: 4.00 μB per cell